KMnMo2: relaxed, PBE.

Unit cell a=2.724 b=2.724 c=10.291 alpha=90.00 beta=90.00 gamma=108.21
Element x y z (fractional)
K (0.000, 0.000, 0.000)
Mn (0.000, 0.000, 0.500)
Mo (0.500, 0.500, 0.308)
Mo (0.500, 0.500, 0.692)

Computed properties:
* calculated volume: 72.5 Å³ per cell
* total magnetization: 1.62 μB/cell
* formation enthalpy at 0 K: 833 meV/atom
* N(E_F): 1.257 states/eV/atom
* excess energy over the best structure of this formula in the dataset: 1.84 kcal/mol of atoms



SmZrZn: relaxed, PBE.

Unit cell a=4.791 b=4.791 c=6.738 alpha=90.00 beta=90.00 gamma=90.00
Element x y z (fractional)
Sm (0.250, 0.750, 0.000)
Sm (0.750, 0.250, 0.000)
Zr (0.250, 0.750, 0.500)
Zr (0.750, 0.250, 0.500)
Zn (0.250, 0.250, 0.278)
Zn (0.750, 0.750, 0.722)

Computed properties:
* calculated volume: 154.7 Å³ per cell
* total magnetization: 0.00 μB/cell
* formation enthalpy at 0 K: 180 meV/atom
* N(E_F): 1.539 states/eV/atom
* excess energy over the best structure of this formula in the dataset: 6.92 kcal/mol of atoms